# 1
GGA-PBE PrErIn, relaxed; E above lowest polymorph = 44 meV/atom; E_form = -291 meV/atom
1.0
-2.3877 1.1956 -2.4316
-0.2122 -3.3136 -1.4209
-3.8839 -0.4695 6.2650
Er Pr In
1 1 1
Direct
0.2989 0.2989 0.5978 Er
0.6074 0.6074 0.2148 Pr
0.9437 0.9437 0.8874 In

***

# 2
GGA-PBE UReC2, relaxed; E above lowest polymorph = 349 meV/atom; E_form = 175 meV/atom
1.0
-2.1019 -0.9565 2.1224
-2.8609 -0.8976 -0.9202
0.2226 -6.0130 -0.1718
U C Re
1 2 1
Direct
0.4940 0.4940 0.5181 U
0.2630 0.2630 0.2109 C
0.0731 0.0731 0.7806 C
0.6699 0.6699 0.9903 Re

***

# 3
GGA-PBE Cs4K6Cd, relaxed; E_form = 52 meV/atom
1.0
-11.0183 4.8343 -0.1299
-4.6222 -10.4322 3.8203
1.4483 3.6132 11.6190
K Cs Cd
12 8 2
Direct
0.0000 0.0000 0.8117 K
0.1282 0.2948 0.5000 K
0.5000 0.5000 0.6883 K
0.0000 0.0000 0.1883 K
0.2052 0.3718 0.0000 K
0.2948 0.8718 0.5000 K
0.7948 0.6282 0.0000 K
0.6282 0.2052 0.0000 K
0.8718 0.7052 0.5000 K
0.7052 0.1282 0.5000 K
0.5000 0.5000 0.3117 K
0.3718 0.7948 0.0000 K
0.8561 0.3561 0.2500 Cs
0.1439 0.6439 0.2500 Cs
0.8561 0.3561 0.7500 Cs
0.6439 0.8561 0.2500 Cs
0.1439 0.6439 0.7500 Cs
0.6439 0.8561 0.7500 Cs
0.3561 0.1439 0.2500 Cs
0.3561 0.1439 0.7500 Cs
0.5000 0.5000 0.0000 Cd
0.0000 0.0000 0.5000 Cd

***

# 4
GGA-PBE KPm2Te3, relaxed; energy relative to the elements, uncorrected = -136.4 kJ/mol of atoms; E above lowest polymorph = 0 meV/atom
1.0
-1.5429 3.5373 2.3371
0.7637 -3.9248 2.0898
22.6365 6.8452 4.5834
Te Pm K
6 4 2
Direct
0.3333 0.6667 0.1505 Te
0.0000 0.0000 0.5000 Te
0.0000 0.0000 0.0000 Te
0.3333 0.6667 0.3495 Te
0.6667 0.3333 0.8495 Te
0.6667 0.3333 0.6505 Te
0.6667 0.3333 0.0765 Pm
0.3333 0.6667 0.9235 Pm
0.3333 0.6667 0.5765 Pm
0.6667 0.3333 0.4235 Pm
0.0000 0.0000 0.7500 K
0.0000 0.0000 0.2500 K

***

# 5
GGA-PBE CaIrPb2, relaxed; E_form = -89 meV/atom
1.0
-1.8730 0.7786 4.4808
-3.3564 -2.4724 2.6104
2.8939 -3.4524 3.7055
Ir Pb Ca
1 2 1
Direct
0.2500 0.2500 0.2500 Ir
0.9767 0.9767 0.0542 Pb
0.5233 0.5233 0.4458 Pb
0.7500 0.7500 0.7500 Ca

***

# 6
GGA-PBE Li2B2PdPt5, relaxed; E_form = -428 meV/atom
1.0
-1.0524 0.3271 -2.7645
-4.6018 -8.4868 0.7475
-7.8013 4.5390 3.5069
Li Pt B Pd
4 10 4 2
Direct
0.0000 0.3218 0.8218 Li
0.0000 0.6782 0.1782 Li
0.0000 0.1782 0.3218 Li
0.0000 0.8218 0.6782 Li
0.5000 0.5000 0.0000 Pt
0.5000 0.7762 0.9304 Pt
0.5000 0.2762 0.5696 Pt
0.5000 0.0696 0.7762 Pt
0.5000 0.5696 0.7238 Pt
0.5000 0.4304 0.2762 Pt
0.5000 0.9304 0.2238 Pt
0.5000 0.7238 0.4304 Pt
0.5000 0.0000 0.5000 Pt
0.5000 0.2238 0.0696 Pt
0.0000 0.3723 0.1277 B
0.0000 0.8723 0.3723 B
0.0000 0.1277 0.6277 B
0.0000 0.6277 0.8723 B
0.0000 0.5000 0.5000 Pd
0.0000 0.0000 0.0000 Pd

***

# 7
GGA-PBE Hg2BiI, relaxed; energy relative to the elements, uncorrected = 3.9 kJ/mol of atoms; E above lowest polymorph = 129 meV/atom
1.0
-3.6161 2.0974 1.0760
-1.2574 0.1571 4.1264
2.6717 7.6210 2.7818
Hg I Bi
2 1 1
Direct
0.2588 0.2588 0.2237 Hg
0.0760 0.0760 0.7721 Hg
0.4972 0.4972 0.5083 I
0.6680 0.6680 0.9959 Bi

***

# 8
GGA-PBE PrHo6Sc, relaxed; E above lowest polymorph = 0 meV/atom; E_form = 39 meV/atom
1.0
4.9883 0.0000 0.0000
0.0000 4.9883 0.0000
0.0000 0.0000 9.9087
Ho Pr Sc
6 1 1
Direct
0.5000 0.0000 0.2580 Ho
0.5000 0.5000 0.0000 Ho
0.0000 0.5000 0.7420 Ho
0.0000 0.5000 0.2580 Ho
0.5000 0.5000 0.5000 Ho
0.5000 0.0000 0.7420 Ho
0.0000 0.0000 0.0000 Pr
0.0000 0.0000 0.5000 Sc

***

# 9
GGA-PBE AcHoRh, relaxed; E above lowest polymorph = 134 meV/atom; E_form = -441 meV/atom
1.0
-0.1472 -2.7910 2.2896
3.4730 -0.7349 -0.6725
0.1185 5.6927 4.0963
Ac Rh Ho
1 1 1
Direct
0.0300 0.0300 0.0600 Ac
0.6812 0.6812 0.3624 Rh
0.2888 0.2888 0.5777 Ho

***

# 10
GGA-PBE Nd8Al2Cu, relaxed; E above lowest polymorph = 0 meV/atom; E_form = -136 meV/atom
1.0
-0.2125 2.4773 4.5322
-4.7698 -4.4233 2.1941
8.2948 -5.2588 0.3151
Al Nd Cu
2 8 1
Direct
0.8153 0.2566 0.6307 Al
0.1847 0.7434 0.3693 Al
0.6535 0.9729 0.3070 Nd
0.2084 0.2990 0.4168 Nd
0.5939 0.4640 0.1878 Nd
0.0177 0.7776 0.0354 Nd
0.4061 0.5360 0.8122 Nd
0.3465 0.0271 0.6930 Nd
0.9823 0.2224 0.9646 Nd
0.7916 0.7010 0.5832 Nd
0.5000 0.0000 0.0000 Cu

***

# 11
GGA-PBE CaMgAgHg, relaxed; E_form = -339 meV/atom
1.0
-1.1447 -0.9834 4.8500
-2.2402 -4.3862 1.2417
2.5937 -3.5428 2.5536
Ca Hg Ag Mg
1 1 1 1
Direct
0.0000 0.0000 0.0000 Ca
0.7500 0.7500 0.7500 Hg
0.2500 0.2500 0.2500 Ag
0.5000 0.5000 0.5000 Mg

***

# 12
GGA-PBE Sr2InSnHg6, relaxed; E_form = -263 meV/atom
1.0
5.8260 -0.1406 0.1493
0.2875 10.7988 0.0060
3.0414 5.4059 4.6635
In Sr Hg Sn
1 2 6 1
Direct
0.0000 0.0000 0.0000 In
0.7649 0.2736 0.4691 Sr
0.2351 0.7264 0.5309 Sr
0.2552 0.4402 0.4899 Hg
0.8190 0.8384 0.8463 Hg
0.6797 0.1717 0.1525 Hg
0.3203 0.8283 0.8475 Hg
0.1810 0.1616 0.1537 Hg
0.7448 0.5598 0.5101 Hg
0.5000 0.5000 0.0000 Sn

***

no.,D(E_F) (states/eV/f.u.),calculated total energy (eV per cell)
1,2.76,-12.954
2,4.72,-41.484
3,9.12,-20.687
4,2.03,-57.010
5,1.83,-18.634
6,4.21,-113.716
7,2.47,-5.872
8,12.29,-38.266
9,3.24,-17.359
10,10.45,-51.215
11,2.93,-8.106
12,4.45,-14.547